Material: Sb2Os
Method: DFT, PBE-GGA
State: optimized geometry

Formation energy from raw total energies (eV per atom): 0.1183
Fermi-level density of states (states/eV/atom): 0.241
Mass density (Mg/m³): 10.09
Symmetry: C2/m, No. 12

Lattice parameters (Å, degrees): 7.1543 7.1543 7.0322 65.35 65.35 26.03
With the nearest neighbours (Å) after each atom.
Fractional coordinates of all 6 atoms:
Os (0.8915, 0.8915, 0.5285)  7 Sb 2.74-2.78, 1 Os 2.88
Sb (0.7824, 0.7824, 0.2804)  3 Os 2.74-2.76
Sb (0.4559, 0.4559, 0.7727)  4 Os 2.77-2.78
Os (0.1085, 0.1085, 0.4715)  7 Sb 2.74-2.78, 1 Os 2.88
Sb (0.5441, 0.5441, 0.2273)  4 Os 2.77-2.78
Sb (0.2176, 0.2176, 0.7196)  3 Os 2.74-2.76

***

Material: Sb3Os
Method: DFT, PBE-GGA
State: optimized geometry

Formation energy from raw total energies (eV per atom): 0.2701
Fermi-level density of states (states/eV/atom): 0.412
Mass density (Mg/m³): 9.74
Symmetry: P2/m, No. 10

Lattice parameters (Å, degrees): 3.1978 3.1731 9.5131 78.75 90.00 90.00
With the nearest neighbours (Å) after each atom.
Fractional coordinates of all 4 atoms:
Os (0.0000, 0.0000, 0.0000)  8 Sb 2.83-2.85
Sb (0.5000, 0.3972, 0.1847)  4 Os 2.83-2.85
Sb (0.0000, 0.5000, 0.5000)  8 Sb 3.17-3.47
Sb (0.5000, 0.6028, 0.8153)  4 Os 2.83-2.85